Entry 1:
Below is a relaxed structure of InIrNO2, with properties calculated at the GGA-PBE level.

a b c (Å): 4.0778 4.0778 4.2683
angles (deg): 90.00 90.00 90.00
Last column: nearest neighbours and their distance in Å.
Sites, in units of the cell vectors:
1 In 0.0000 0.0000 0.0000  4 O 2.04, 2 N 2.13
2 Ir 0.5000 0.5000 0.5000  4 N 2.88, 8 O 2.95
3 N 0.0000 0.0000 0.5000  2 In 2.13
4 O 0.0000 0.5000 0.0000  2 In 2.04
5 O 0.5000 0.0000 0.0000  2 In 2.04

Values from the calculation:
raw formation energy = 1248 meV per atom


Entry 2:
Below is a relaxed structure of InIrSN2, with properties calculated at the GGA-PBE level.

a b c (Å): 4.0278 4.0278 5.5391
angles (deg): 90.00 90.00 90.00
Last column: nearest neighbours and their distance in Å.
Sites, in units of the cell vectors:
1 In 0.0000 0.0000 0.0000  4 N 2.01
2 Ir 0.5000 0.5000 0.5000  4 S 2.85
3 S 0.0000 0.0000 0.5000  2 In 2.77, 4 Ir 2.85
4 N 0.0000 0.5000 0.0000  2 In 2.01
5 N 0.5000 0.0000 0.0000  2 In 2.01

Values from the calculation:
raw formation energy = 2131 meV per atom
distance to the lowest polymorph of the same formula = 7.37 eV per formula unit


Entry 3:
Below is a relaxed structure of InIrSN2, with properties calculated at the GGA-PBE level.

a b c (Å): 3.8192 3.8192 5.4840
angles (deg): 90.00 90.00 90.00
Last column: nearest neighbours and their distance in Å.
Sites, in units of the cell vectors:
1 In 0.0000 0.0000 0.0000  4 S 2.70
2 Ir 0.5000 0.5000 0.5000  4 N 1.91
3 S 0.5000 0.5000 0.0000  4 In 2.70, 2 Ir 2.74
4 N 0.0000 0.5000 0.5000  2 Ir 1.91
5 N 0.5000 0.0000 0.5000  2 Ir 1.91

Values from the calculation:
raw formation energy = 656 meV per atom
distance to the lowest polymorph of the same formula = 0.00 eV per formula unit


Entry 4:
Below is a relaxed structure of InIrSeN2, with properties calculated at the GGA-PBE level.

a b c (Å): 3.8999 3.8999 5.7259
angles (deg): 90.00 90.00 90.00
Last column: nearest neighbours and their distance in Å.
Sites, in units of the cell vectors:
1 In 0.0000 0.0000 0.0000  4 Se 2.76
2 Ir 0.5000 0.5000 0.5000  4 N 1.95
3 Se 0.5000 0.5000 0.0000  4 In 2.76, 2 Ir 2.86
4 N 0.0000 0.5000 0.5000  2 Ir 1.95
5 N 0.5000 0.0000 0.5000  2 Ir 1.95

Values from the calculation:
raw formation energy = 685 meV per atom
distance to the lowest polymorph of the same formula = 0.00 eV per formula unit


Entry 5:
Below is a relaxed structure of InIrSeN2, with properties calculated at the GGA-PBE level.

a b c (Å): 4.0648 4.0648 5.8594
angles (deg): 90.00 90.00 90.00
Last column: nearest neighbours and their distance in Å.
Sites, in units of the cell vectors:
1 In 0.0000 0.0000 0.0000  4 N 2.03
2 Ir 0.5000 0.5000 0.5000  4 Se 2.87
3 Se 0.0000 0.0000 0.5000  4 Ir 2.87, 2 In 2.93
4 N 0.0000 0.5000 0.0000  2 In 2.03
5 N 0.5000 0.0000 0.0000  2 In 2.03

Values from the calculation:
raw formation energy = 2028 meV per atom
distance to the lowest polymorph of the same formula = 6.71 eV per formula unit


Entry 6:
Below is a relaxed structure of InSi2IrN, with properties calculated at the GGA-PBE level.

a b c (Å): 3.9322 3.9322 4.6588
angles (deg): 90.00 90.00 90.00
Last column: nearest neighbours and their distance in Å.
Sites, in units of the cell vectors:
1 In 0.0000 0.0000 0.0000  2 N 2.33
2 Si 0.0000 0.5000 0.5000  2 N 1.97
3 Si 0.5000 0.0000 0.5000  2 N 1.97
4 Ir 0.5000 0.5000 0.0000  4 In 2.78, 8 Si 3.05
5 N 0.0000 0.0000 0.5000  4 Si 1.97

Values from the calculation:
raw formation energy = 557 meV per atom


Entry 7:
Below is a relaxed structure of InTcIr2N, with properties calculated at the GGA-PBE level.

a b c (Å): 4.6794 4.6794 5.3264
angles (deg): 90.00 90.00 90.00
Last column: nearest neighbours and their distance in Å.
Sites, in units of the cell vectors:
1 In 0.0000 0.0000 0.0000  2 Tc 2.66
2 Tc 0.0000 0.0000 0.5000  4 Ir 2.34
3 Ir 0.0000 0.5000 0.5000  2 Tc 2.34
4 Ir 0.5000 0.0000 0.5000  2 Tc 2.34
5 N 0.5000 0.5000 0.0000  4 In 3.31, 8 Ir 3.54

Values from the calculation:
raw formation energy = 2223 meV per atom


Entry 8:
Below is a relaxed structure of InTcIrN2, with properties calculated at the GGA-PBE level.

a b c (Å): 3.8326 3.8326 5.3535
angles (deg): 90.00 90.00 90.00
Last column: nearest neighbours and their distance in Å.
Sites, in units of the cell vectors:
1 In 0.0000 0.0000 0.0000  4 Ir 2.71
2 Tc 0.5000 0.5000 0.5000  4 N 1.92
3 Ir 0.5000 0.5000 0.0000  2 Tc 2.68, 4 In 2.71
4 N 0.0000 0.5000 0.5000  2 Tc 1.92
5 N 0.5000 0.0000 0.5000  2 Tc 1.92

Values from the calculation:
raw formation energy = 726 meV per atom
distance to the lowest polymorph of the same formula = 0.00 eV per formula unit


Entry 9:
Below is a relaxed structure of InTcIrN2, with properties calculated at the GGA-PBE level.

a b c (Å): 3.9778 3.9778 5.4816
angles (deg): 90.00 90.00 90.00
Last column: nearest neighbours and their distance in Å.
Sites, in units of the cell vectors:
1 In 0.0000 0.0000 0.0000  4 N 1.99
2 Tc 0.5000 0.5000 0.5000  4 Ir 2.81
3 Ir 0.0000 0.0000 0.5000  2 In 2.74, 4 Tc 2.81
4 N 0.0000 0.5000 0.0000  2 In 1.99
5 N 0.5000 0.0000 0.0000  2 In 1.99

Values from the calculation:
raw formation energy = 2488 meV per atom
distance to the lowest polymorph of the same formula = 8.81 eV per formula unit


Entry 10:
Below is a relaxed structure of Na2In6Ir, with properties calculated at the GGA-PBE level.

a b c (Å): 6.5681 6.5681 6.1324
angles (deg): 90.00 90.00 120.00
Last column: nearest neighbours and their distance in Å.
Sites, in units of the cell vectors:
1 Na 0.3333 0.6667 0.1739  12 In 3.37-3.71
2 Na 0.6667 0.3333 0.8261  12 In 3.37-3.71
3 In 0.1743 0.3487 0.7013  1 Ir 2.70
4 In 0.1743 0.8257 0.7013  1 Ir 2.70
5 In 0.3487 0.1743 0.2987  1 Ir 2.70
6 In 0.6513 0.8257 0.7013  1 Ir 2.70
7 In 0.8257 0.1743 0.2987  1 Ir 2.70
8 In 0.8257 0.6513 0.2987  1 Ir 2.70
9 Ir 0.0000 0.0000 0.0000  6 In 2.70

Values from the calculation:
energy relative to the elements = -0.07 eV/atom
distance to the lowest polymorph of the same formula = 0.00 eV per formula unit


Entry 11:
Below is a relaxed structure of NaIn2Ir2, with properties calculated at the GGA-PBE level.

a b c (Å): 7.9388 7.9388 3.0266
angles (deg): 90.00 90.00 90.00
Last column: nearest neighbours and their distance in Å.
Sites, in units of the cell vectors:
1 Na 0.0000 0.0000 0.0000  2 Na 3.03, 4 In 3.03, 8 Ir 3.39
2 Na 0.5000 0.5000 0.0000  2 Na 3.03, 4 In 3.03, 8 Ir 3.39
3 In 0.1473 0.3527 0.0000  6 Ir 2.75-2.79, 2 In 3.03, 2 Na 3.03
4 In 0.3527 0.8527 0.0000  6 Ir 2.75-2.79, 2 In 3.03, 2 Na 3.03
5 In 0.6473 0.1473 0.0000  6 Ir 2.75-2.79, 2 In 3.03, 2 Na 3.03
6 In 0.8527 0.6473 0.0000  6 Ir 2.75-2.79, 2 In 3.03, 2 Na 3.03
7 Ir 0.1485 0.6485 0.5000  6 In 2.75-2.79, 2 Ir 3.03
8 Ir 0.3515 0.1485 0.5000  6 In 2.75-2.79, 2 Ir 3.03
9 Ir 0.6485 0.8515 0.5000  6 In 2.75-2.79, 2 Ir 3.03
10 Ir 0.8515 0.3515 0.5000  6 In 2.75-2.79, 2 Ir 3.03

Values from the calculation:
energy relative to the elements = -0.06 eV/atom
distance to the lowest polymorph of the same formula = 0.11 eV per formula unit


Entry 12:
Below is a relaxed structure of Na2In2Ir, with properties calculated at the GGA-PBE level.

a b c (Å): 7.0004 7.0004 5.2984
angles (deg): 90.00 90.00 90.00
Last column: nearest neighbours and their distance in Å.
Sites, in units of the cell vectors:
1 Na 0.1779 0.3221 0.0000  2 In 3.10
2 Na 0.3221 0.8221 0.0000  2 In 3.10
3 Na 0.6779 0.1779 0.0000  2 In 3.10
4 Na 0.8221 0.6779 0.0000  2 In 3.10
5 In 0.1590 0.6590 0.5000  2 Ir 2.63
6 In 0.3410 0.1590 0.5000  2 Ir 2.63
7 In 0.6590 0.8410 0.5000  2 Ir 2.63
8 In 0.8410 0.3410 0.5000  2 Ir 2.63
9 Ir 0.0000 0.0000 0.5000  4 In 2.63
10 Ir 0.5000 0.5000 0.5000  4 In 2.63

Values from the calculation:
energy relative to the elements = 0.07 eV/atom
distance to the lowest polymorph of the same formula = 0.63 eV per formula unit